(1)
LiB6C6: relaxed, PBE-GGA.

Lattice parameters (Å, degrees): 7.3302 7.3302 6.7052 127.11 127.11 21.76
Element x y z (fractional)
C 0.6503 0.6503 0.3376
B 0.4663 0.4663 0.6735
C 0.6762 0.6762 0.6390
B 0.2099 0.2099 0.3441
Li 0.0000 0.0000 0.0000
B 0.5337 0.5337 0.3265
C 0.0235 0.0235 0.6865
C 0.3497 0.3497 0.6624
B 0.8793 0.8793 0.3548
C 0.9765 0.9765 0.3135
C 0.3238 0.3238 0.3610
B 0.1207 0.1207 0.6452
B 0.7901 0.7901 0.6559

Its energy is -7.2909 eV/atom. The value obtained for the formation energy is 195 meV/atom. The distance to the lowest polymorph of the same formula comes out at 30.7 meV per atom. The space-group type is C2/m. As for the volume: 8.10 Å³ per atom. Its density is 2.27 g/cm³.



(2)
LiB6C6: relaxed, PBE-GGA.

Lattice parameters (Å, degrees): 4.7367 4.7367 5.6488 90.00 90.00 120.00
Element x y z (fractional)
B 0.0021 0.6688 0.8184
C 0.9995 0.3333 0.8083
B 0.6667 0.6688 0.1816
C 0.6667 0.0005 0.1917
B 0.3312 0.9979 0.1816
C 0.3338 0.0005 0.8083
B 0.0021 0.3333 0.1816
B 0.6667 0.9979 0.8184
B 0.3312 0.3333 0.8184
C 0.9995 0.6662 0.1917
C 0.6667 0.6662 0.8083
Li 0.6667 0.3333 0.5000
C 0.3338 0.3333 0.1917

Its energy is -7.1923 eV/atom. The value obtained for the formation energy is 294 meV/atom. The distance to the lowest polymorph of the same formula comes out at 129.3 meV per atom. The space-group type is P-31m. As for the volume: 8.44 Å³ per atom. Its density is 2.18 g/cm³.



(3)
LiBC4N4: relaxed, PBE-GGA.

Lattice parameters (Å, degrees): 5.5464 5.5464 5.5464 90.00 90.00 90.00
Element x y z (fractional)
C 0.8347 0.8347 0.8347
N 0.2863 0.7137 0.2863
N 0.2863 0.2863 0.7137
N 0.7137 0.7137 0.7137
B 0.0000 0.0000 0.0000
C 0.8347 0.1653 0.1653
Li 0.5000 0.5000 0.5000
C 0.1653 0.8347 0.1653
N 0.7137 0.2863 0.2863
C 0.1653 0.1653 0.8347

The calculation puts the uncorrected formation energy at -0.016 eV per atom. Its energy is -7.8946 eV/atom. The space-group type is P-43m. As for the volume: 17.06 Å³ per atom. Its density is 1.19 g/cm³.



(4)
NaLiB2C: relaxed, PBE-GGA.

Lattice parameters (Å, degrees): 3.8808 3.8285 3.8808 90.00 90.00 90.00
Element x y z (fractional)
B 0.5000 0.0000 0.0000
Na 0.5000 0.5000 0.5000
Li 0.0000 0.0000 0.0000
B 0.0000 0.0000 0.5000
C 0.0000 0.5000 0.0000

Its energy is -3.0728 eV/atom. The value obtained for the formation energy is 2090 meV/atom. The space-group type is P4/mmm. As for the volume: 11.53 Å³ per atom. Its density is 1.83 g/cm³.



Calculated density of states at the Fermi level (states/eV per atom), listed in the same order as above: 0.086; 0.256; 0.000; 0.452